No. 1
PBE LaYErS3, relaxed; theoretical density = 5.5 Mg/m³; Fermi-level density of states = 8.18 states/eV/cell; VASP energy = -78.84 eV/cell
1.0
7.621 0.000 0.000
0.000 3.964 0.000
-2.179 0.000 9.779
La Y Er S
2 2 2 6
Direct
0.184 0.250 0.208
0.816 0.750 0.792
0.184 0.250 0.621
0.816 0.750 0.379
0.332 0.750 0.908
0.668 0.250 0.092
0.094 0.250 0.886
0.193 0.750 0.437
0.475 0.750 0.182
0.525 0.250 0.818
0.807 0.250 0.563
0.906 0.750 0.114



No. 2
PBE LaY2ErS4, relaxed; theoretical density = 5.8 Mg/m³; Fermi-level density of states = 4.97 states/eV/cell; VASP energy = -55.04 eV/cell
1.0
6.866 0.000 0.000
0.000 3.927 0.000
-2.255 0.000 6.548
La Y Er S
1 2 1 4
Direct
0.000 0.000 0.000
0.500 0.000 0.500
0.500 0.500 0.000
0.000 0.500 0.500
0.252 0.000 0.740
0.261 0.500 0.265
0.739 0.500 0.735
0.748 0.000 0.260



No. 3
PBE LaYEr2S6, relaxed; theoretical density = 4.8 Mg/m³; Fermi-level density of states = 0.00 states/eV/cell; VASP energy = -66.10 eV/cell
1.0
3.497 2.019 6.156
-3.497 2.019 6.156
0.000 -4.038 6.156
La Y Er S
1 1 2 6
Direct
0.000 0.000 0.000
0.491 0.491 0.491
0.288 0.288 0.288
0.793 0.793 0.793
0.081 0.663 0.421
0.188 0.580 0.897
0.421 0.081 0.663
0.580 0.897 0.188
0.663 0.421 0.081
0.897 0.188 0.580



No. 4
PBE La4YEr3S8, relaxed; theoretical density = 6.4 Mg/m³; Fermi-level density of states = 8.31 states/eV/cell; VASP energy = -106.05 eV/cell
1.0
3.975 2.295 6.697
-3.975 2.295 6.697
0.000 -4.590 6.697
La Y Er S
4 1 3 8
Direct
0.000 0.000 0.000
0.000 0.500 0.500
0.500 0.000 0.500
0.500 0.500 0.000
0.500 0.500 0.500
0.000 0.000 0.500
0.000 0.500 0.000
0.500 0.000 0.000
0.240 0.743 0.743
0.242 0.242 0.242
0.257 0.257 0.760
0.257 0.760 0.257
0.743 0.240 0.743
0.743 0.743 0.240
0.758 0.758 0.758
0.760 0.257 0.257



No. 5
PBE LaYEr2S4, relaxed; theoretical density = 6.5 Mg/m³; Fermi-level density of states = 7.51 states/eV/cell; VASP energy = -105.68 eV/cell
1.0
5.599 0.000 0.000
0.000 5.599 0.000
0.000 0.000 11.189
La Y Er S
2 2 4 8
Direct
0.000 0.000 0.000
0.500 0.500 0.500
0.000 0.000 0.500
0.500 0.500 0.000
0.000 0.500 0.250
0.000 0.500 0.750
0.500 0.000 0.250
0.500 0.000 0.750
0.000 0.000 0.256
0.000 0.000 0.744
0.000 0.500 0.000
0.000 0.500 0.500
0.500 0.000 0.000
0.500 0.000 0.500
0.500 0.500 0.244
0.500 0.500 0.756



No. 6
PBE La2ErZnS5, relaxed; theoretical density = 5.5 Mg/m³; Fermi-level density of states = 2.20 states/eV/cell; VASP energy = -105.89 eV/cell
1.0
1.961 -8.517 0.000
1.961 8.517 0.000
0.000 0.000 12.063
La Er Zn S
4 2 2 10
Direct
0.116 0.884 0.500
0.130 0.870 0.135
0.870 0.130 0.635
0.884 0.116 0.000
0.198 0.802 0.831
0.802 0.198 0.331
0.452 0.548 0.256
0.548 0.452 0.756
0.040 0.960 0.859
0.293 0.707 0.486
0.315 0.685 0.174
0.355 0.645 0.820
0.494 0.506 0.583
0.506 0.494 0.083
0.645 0.355 0.320
0.685 0.315 0.674
0.707 0.293 0.986
0.960 0.040 0.359



> VASP energy of number 6 (La2ErZnS5)?

-105.89 eV/cell



> Look up the Fermi-level density of states of the third one.

0.00 states/eV/cell



> The highest VASP energy belongs to which entry?

LaY2ErS4